First-principles (PBE) data for a geometry-optimized Tb2Ho4ErTm2 structure, as listed in Alexandria.

Density = 8.88 g/cm3
Size of the total moment = 0.0 μB per cell
Symmetry = C2/m, No. 12
Crystal system = monoclinic
ΔH_f (0 K) = 5.0 meV per atom
E_tot = -4.56 eV per atom

CIF file:
```
data_Tb2Ho4ErTm2
_space_group_name_H-M_alt 'P 1'
_space_group_IT_number 1
_space_group_name_Hall 'P 1'
_cell_length_a 3.5500
_cell_length_b 9.3888
_cell_length_c 9.4113
_cell_angle_alpha 115.30
_cell_angle_beta 90.00
_cell_angle_gamma 100.90
loop_
_atom_site_label
_atom_site_type_symbol
_atom_site_fract_x
_atom_site_fract_y
_atom_site_fract_z
_atom_site_occupancy
Tb1 Tb 0.8519 0.7038 0.3332 1
Tb2 Tb 0.1481 0.2962 0.6668 1
Ho1 Ho 0.8150 0.6299 0.6668 1
Ho2 Ho 0.1850 0.3701 0.3332 1
Ho3 Ho 0.5185 0.0369 0.3324 1
Ho4 Ho 0.4815 0.9631 0.6676 1
Er1 Er 0.0000 0.0000 0.0000 1
Tm1 Tm 0.3333 0.6665 0.9992 1
Tm2 Tm 0.6667 0.3335 0.0008 1
```